1.
VASP calculation (GGA-PBE) on crystalline Mn2CdRu2 at its relaxed geometry.

For the magnetization, the calculation gives 0.82 μB/cell. The energy above the most stable polymorph in this dataset comes out at 54.6 meV per atom. Its density of states at the Fermi level is 0.94 states/eV/atom. Its volume is 151.1 Å³ per cell. The calculation puts the formation energy at 0.32 eV/atom.

The space group is I4/mmm (No. 139) and the conventional cell measures 4.0054, 4.0054 and 9.4165 Å, with angles of 90.00, 90.00 and 90.00 degrees. The inequivalent atoms are Mn at (0.0000, 0.0000, 0.1086), Cd at (0.0000, 0.0000, 0.5000) and Ru at (0.0000, 0.5000, 0.2500).

---

2.
VASP calculation (GGA-PBE) on crystalline Mn2CdRu2 at its relaxed geometry.

For the magnetization, the calculation gives 5.37 μB/cell. The energy above the most stable polymorph in this dataset comes out at 0.0 meV per atom. Its density of states at the Fermi level is 0.91 states/eV/atom. Its volume is 145.7 Å³ per cell. The calculation puts the formation energy at 0.26 eV/atom.

The space group is P4/mbm (No. 127) and the conventional cell measures 7.3534, 7.3534 and 2.6952 Å, with angles of 90.00, 90.00 and 90.00 degrees. The inequivalent atoms are Mn at (0.1631, 0.3369, 0.0000), Cd at (0.0000, 0.0000, 0.5000) and Ru at (0.1282, 0.6282, 0.5000).

---

3.
VASP calculation (GGA-PBE) on crystalline Mn2CdRu at its relaxed geometry.

For the magnetization, the calculation gives 30.18 μB/cell. Its density of states at the Fermi level is 1.23 states/eV/atom. Its volume is 275.4 Å³ per cell. The calculation puts the formation energy at 0.69 eV/atom.

The space group is I-42d (No. 122) and the conventional cell measures 7.0903, 7.0903 and 5.4786 Å, with angles of 90.00, 90.00 and 90.00 degrees. The inequivalent atoms are Mn at (0.2172, 0.7500, 0.1250), Cd at (0.0000, 0.0000, 0.5000) and Ru at (0.0000, 0.0000, 0.0000).

---

4.
VASP calculation (GGA-PBE) on crystalline Mn2CdRu at its relaxed geometry.

For the magnetization, the calculation gives 24.11 μB/cell. Its density of states at the Fermi level is 1.68 states/eV/atom. Its volume is 242.9 Å³ per cell. The calculation puts the formation energy at 0.42 eV/atom.

The space group is F-43m (No. 216) and the conventional cell measures 6.2393, 6.2393 and 6.2393 Å, with angles of 90.00, 90.00 and 90.00 degrees. The inequivalent atoms are Mn at (0.0000, 0.0000, 0.0000), Mn at (0.2500, 0.2500, 0.2500), Cd at (0.0000, 0.0000, 0.5000) and Ru at (0.2500, 0.2500, 0.7500).

---

5.
VASP calculation (GGA-PBE) on crystalline Mn2CdRu at its relaxed geometry.

For the magnetization, the calculation gives 13.92 μB/cell. Its density of states at the Fermi level is 1.34 states/eV/atom. Its volume is 122.9 Å³ per cell. The calculation puts the formation energy at 0.37 eV/atom.

The space group is I-4m2 (No. 119) and the conventional cell measures 3.9532, 3.9532 and 7.8647 Å, with angles of 90.00, 90.00 and 90.00 degrees. The inequivalent atoms are Mn at (0.0000, 0.0000, 0.0000), Mn at (0.0000, 0.5000, 0.2500), Cd at (0.0000, 0.0000, 0.5000) and Ru at (0.0000, 0.5000, 0.7500).

---

6.
VASP calculation (GGA-PBE) on crystalline Mn2CdRu at its relaxed geometry.

For the magnetization, the calculation gives 11.51 μB/cell. Its density of states at the Fermi level is 0.83 states/eV/atom. Its volume is 121.0 Å³ per cell. The calculation puts the formation energy at 0.32 eV/atom.

The space group is Cm (No. 8) and the conventional cell measures 9.1010, 2.8324 and 4.7897 Å, with angles of 90.00, 101.42 and 90.00 degrees. The inequivalent atoms are Mn at (0.0000, 0.0000, 0.0000), Mn at (0.2495, 0.5000, 0.2588), Cd at (0.2420, 0.0000, 0.7507) and Ru at (0.4846, 0.0000, 0.4430).

---

7.
VASP calculation (GGA-PBE) on crystalline MnCd3Ru at its relaxed geometry.

For the magnetization, the calculation gives 5.37 μB/cell. The energy above the most stable polymorph in this dataset comes out at 0.0 meV per atom. Its density of states at the Fermi level is 0.74 states/eV/atom. Its volume is 135.6 Å³ per cell. The calculation puts the formation energy at 0.92 eV/atom.

The space group is Pm-3m (No. 221) and the conventional cell measures 5.1377, 5.1377 and 5.1377 Å, with angles of 90.00, 90.00 and 90.00 degrees. The inequivalent atoms are Mn at (0.0000, 0.0000, 0.0000), Cd at (0.0000, 0.5000, 0.5000) and Ru at (0.5000, 0.5000, 0.5000).

---

8.
VASP calculation (GGA-PBE) on crystalline Mn2CdRu at its relaxed geometry.

For the magnetization, the calculation gives 14.98 μB/cell. Its density of states at the Fermi level is 0.97 states/eV/atom. Its volume is 125.6 Å³ per cell. The calculation puts the formation energy at 0.37 eV/atom.

The space group is C2/m (No. 12) and the conventional cell measures 8.8753, 2.8552 and 5.0356 Å, with angles of 90.00, 100.23 and 90.00 degrees. The inequivalent atoms are Mn at (0.2415, 0.0000, 0.2261), Cd at (0.0000, 0.0000, 0.5000) and Ru at (0.0000, 0.5000, 0.0000).